# 1
A plane-wave DFT calculation with GGA-PBE was carried out for a relaxed Tb3Ho4In crystal.

As for the formation energy: -112 meV per atom. The energy above the most stable polymorph in this dataset comes out at 0 meV/atom.

The space group is Pmn2_1 (No. 31) and the conventional cell measures 11.167, 7.009 and 6.150 Å, with angles of 90.00, 90.00 and 90.00 degrees. Symmetry generates all atoms from Tb at (0.000, 0.128, 0.000), Tb at (0.241, 0.116, 0.339), Ho at (0.000, 0.375, 0.533), Ho at (0.000, 0.630, 0.009), Ho at (0.239, 0.626, 0.358) and In at (0.000, 0.872, 0.518).

=====

# 2
A plane-wave DFT calculation with GGA-PBE was carried out for a relaxed TaCuAu4 crystal.

As for the formation energy: -48 meV per atom. The energy above the most stable polymorph in this dataset comes out at 0 meV/atom.

The space group is P4/mmm (No. 123) and the conventional cell measures 2.932, 2.932 and 11.895 Å, with angles of 90.00, 90.00 and 90.00 degrees. Symmetry generates all atoms from Ta at (0.000, 0.000, 0.000), Cu at (0.500, 0.500, 0.500), Au at (0.000, 0.000, 0.352) and Au at (0.500, 0.500, 0.168).

=====

# 3
A plane-wave DFT calculation with GGA-PBE was carried out for a relaxed HfMg14Fe crystal.

As for the formation energy: 111 meV per atom. The energy above the most stable polymorph in this dataset comes out at 16 meV/atom.

The space group is P-6m2 (No. 187) and the conventional cell measures 6.3217, 6.3217 and 9.9631 Å, with angles of 90.00, 90.00 and 120.00 degrees. Symmetry generates all atoms from Hf at (0.0000, 0.0000, 0.0000), Mg at (0.0096, 0.5048, 0.0000), Mg at (0.1600, 0.3200, 0.2582), Mg at (0.5024, 0.0048, 0.5000), Mg at (0.6667, 0.3333, 0.2402) and Fe at (0.0000, 0.0000, 0.5000).

=====

# 4
A plane-wave DFT calculation with GGA-PBE was carried out for a relaxed ErPuGa2Pd2 crystal.

As for the formation energy: -700 meV per atom.

The space group is P-3m1 (No. 164) and the conventional cell measures 4.5065, 4.5065 and 6.8225 Å, with angles of 90.00, 90.00 and 120.00 degrees. Symmetry generates all atoms from Er at (0.0000, 0.0000, 0.0000), Pu at (0.0000, 0.0000, 0.5000), Ga at (0.3333, 0.6667, 0.2388) and Pd at (0.3333, 0.6667, 0.7668).

=====

# 5
A plane-wave DFT calculation with GGA-PBE was carried out for a relaxed Hf2SeS crystal.

As for the uncorrected formation energy: -0.854 eV per atom. The energy above the most stable polymorph in this dataset comes out at 270 meV/atom.

The space group is Cm (No. 8) and the conventional cell measures 6.009, 3.469 and 8.437 Å, with angles of 90.00, 90.08 and 90.00 degrees. Symmetry generates all atoms from Hf at (0.000, 0.000, 0.000), Hf at (0.166, 0.500, 0.517), Se at (0.167, 0.500, 0.208) and S at (0.000, 0.000, 0.705).

=====

# 6
A plane-wave DFT calculation with GGA-PBE was carried out for a relaxed CoCuSb2 crystal.

As for the uncorrected formation energy: 0.084 eV per atom.

The space group is Pm (No. 6) and the conventional cell measures 3.645, 4.014 and 5.136 Å, with angles of 90.00, 110.62 and 90.00 degrees. Symmetry generates all atoms from Co at (0.000, 0.000, 0.000), Cu at (0.160, 0.500, 0.322), Sb at (0.438, 0.500, 0.877) and Sb at (0.716, 0.000, 0.433).

=====

Number 1: VASP energy -71.67 eV for the cell shown. Number 2: VASP energy -29.34 eV for the cell shown. Number 3: VASP energy -38.96 eV for the cell shown. Number 4: VASP energy -39.53 eV for the cell shown. Number 5: VASP energy -61.87 eV for the cell shown. Number 6: VASP energy -19.11 eV for the cell shown.